Record 1
# NpV2Os, optimized geometry, DFT PBE-GGA
# magnetic moment = 0.661 μB per atom
# energy above the lowest structure with this stoichiometry = 0.40 eV/f.u.
# DFT formation energy = 158 meV/atom
# density of states at the Fermi level = 2.326 states/eV per atom
# raw total energy = -10.44 eV per atom
data_NpV2Os
_chemical_formula_sum 'Np4 V8 Os4'
_cell_length_a 6.268
_cell_length_b 6.268
_cell_length_c 6.268
_cell_angle_alpha 90.00
_cell_angle_beta 90.00
_cell_angle_gamma 90.00
_space_group_name_H-M_alt 'F m -3 m'
_space_group_IT_number 225
_space_group_name_Hall '-F 4 2 3'
loop_
_atom_site_label
_atom_site_type_symbol
_atom_site_fract_x
_atom_site_fract_y
_atom_site_fract_z
Np1 Np 0.000 0.000 0.000
V1 V 0.250 0.250 0.250
Os1 Os 0.000 0.000 0.500

---

Record 2
# Pr2TiNbN5, optimized geometry, DFT PBE-GGA
# magnetic moment = 0.000 μB per atom
# uncorrected formation energy = -1.2400 eV/atom
# density of states at the Fermi level = 0.021 states/eV per atom
# raw total energy = -8.92 eV per atom
data_Pr2TiNbN5
_chemical_formula_sum 'Pr8 Ti4 Nb4 N20'
_cell_length_a 3.375
_cell_length_b 13.578
_cell_length_c 10.650
_cell_angle_alpha 90.00
_cell_angle_beta 90.00
_cell_angle_gamma 90.00
_space_group_name_H-M_alt 'C m c 21'
_space_group_IT_number 36
loop_
_space_group_symop_operation_xyz
'x,y,z'
'-x,-y,z+1/2'
'-x,y,z'
'x,-y,z+1/2'
'x+1/2,y+1/2,z'
'-x+1/2,-y+1/2,z+1/2'
'-x+1/2,y+1/2,z'
'x+1/2,-y+1/2,z+1/2'
loop_
_atom_site_label
_atom_site_type_symbol
_atom_site_fract_x
_atom_site_fract_y
_atom_site_fract_z
Pr1 Pr 0.000 0.105 0.000
Pr2 Pr 0.000 0.140 0.603
Ti1 Ti 0.000 0.470 0.772
Nb1 Nb 0.000 0.220 0.320
N1 N 0.000 0.054 0.357
N2 N 0.000 0.280 0.959
N3 N 0.000 0.314 0.703
N4 N 0.000 0.367 0.309
N5 N 0.000 0.497 0.100

---

Record 3
# HoH12Pd7, optimized geometry, DFT PBE-GGA
# magnetic moment = 0.000 μB per atom
# density of states at the Fermi level = 0.211 states/eV per atom
# raw total energy = -4.23 eV per atom
data_HoH12Pd7
_chemical_formula_sum 'Ho2 H24 Pd14'
_cell_length_a 7.016
_cell_length_b 7.016
_cell_length_c 7.016
_cell_angle_alpha 90.00
_cell_angle_beta 90.00
_cell_angle_gamma 90.00
_space_group_name_H-M_alt 'I m -3'
_space_group_IT_number 204
_space_group_name_Hall '-I 2 2 3'
loop_
_atom_site_label
_atom_site_type_symbol
_atom_site_fract_x
_atom_site_fract_y
_atom_site_fract_z
Ho1 Ho 0.000 0.000 0.000
H1 H 0.000 0.305 0.174
Pd1 Pd 0.000 0.000 0.500
Pd2 Pd 0.250 0.250 0.250

---

Record 4
# ZnInGa, optimized geometry, DFT PBE-GGA
# magnetic moment = 0.000 μB per atom
# DFT formation energy = 66 meV/atom
# density of states at the Fermi level = 0.412 states/eV per atom
# raw total energy = -2.28 eV per atom
data_ZnInGa
_chemical_formula_sum 'Zn4 In4 Ga4'
_cell_length_a 6.491
_cell_length_b 5.840
_cell_length_c 6.582
_cell_angle_alpha 90.00
_cell_angle_beta 90.00
_cell_angle_gamma 90.00
_space_group_name_H-M_alt 'P n m a'
_space_group_IT_number 62
loop_
_space_group_symop_operation_xyz
'x,y,z'
'-x,-y,-z'
'-x+1/2,-y,z+1/2'
'x+1/2,y,-z+1/2'
'x+1/2,-y+1/2,-z+1/2'
'-x+1/2,y+1/2,z+1/2'
'-x,y+1/2,-z'
'x,-y+1/2,z'
loop_
_atom_site_label
_atom_site_type_symbol
_atom_site_fract_x
_atom_site_fract_y
_atom_site_fract_z
Zn1 Zn 0.204 0.250 0.200
In1 In 0.096 0.750 0.112
Ga1 Ga 0.000 0.000 0.500

---

Record 5
# ScOs, optimized geometry, DFT PBE-GGA
# magnetic moment = 0.508 μB per atom
# DFT formation energy = 1671 meV/atom
# density of states at the Fermi level = 2.377 states/eV per atom
# raw total energy = -7.11 eV per atom
data_ScOs
_chemical_formula_sum 'Sc4 Os4'
_cell_length_a 5.967
_cell_length_b 5.967
_cell_length_c 5.967
_cell_angle_alpha 90.00
_cell_angle_beta 90.00
_cell_angle_gamma 90.00
_space_group_name_H-M_alt 'F -4 3 m'
_space_group_IT_number 216
_space_group_name_Hall 'F -4 2 3'
loop_
_atom_site_label
_atom_site_type_symbol
_atom_site_fract_x
_atom_site_fract_y
_atom_site_fract_z
Sc1 Sc 0.000 0.000 0.000
Os1 Os 0.250 0.250 0.750

---

Record 6
# BePbAu2, optimized geometry, DFT PBE-GGA
# magnetic moment = 0.000 μB per atom
# energy above the lowest structure with this stoichiometry = 1.43 eV/f.u.
# DFT formation energy = 334 meV/atom
# density of states at the Fermi level = 0.228 states/eV per atom
# raw total energy = -3.16 eV per atom
data_BePbAu2
_chemical_formula_sum 'Be2 Pb2 Au4'
_cell_length_a 4.246
_cell_length_b 4.246
_cell_length_c 8.481
_cell_angle_alpha 90.00
_cell_angle_beta 90.00
_cell_angle_gamma 90.00
_space_group_name_H-M_alt 'I 4/m m m'
_space_group_IT_number 139
_space_group_name_Hall '-I 4 2'
loop_
_atom_site_label
_atom_site_type_symbol
_atom_site_fract_x
_atom_site_fract_y
_atom_site_fract_z
Be1 Be 0.000 0.000 0.000
Pb1 Pb 0.000 0.000 0.500
Au1 Au 0.000 0.500 0.250

---

Record 7
# NaAc2PmSe5, optimized geometry, DFT PBE-GGA
# magnetic moment = 0.000 μB per atom
# uncorrected formation energy = -1.7923 eV/atom
# raw total energy = -5.32 eV per atom
data_NaAc2PmSe5
_chemical_formula_sum 'Na4 Ac8 Pm4 Se20'
_cell_length_a 4.393
_cell_length_b 17.964
_cell_length_c 13.215
_cell_angle_alpha 90.00
_cell_angle_beta 90.00
_cell_angle_gamma 90.00
_space_group_name_H-M_alt 'C m c 21'
_space_group_IT_number 36
loop_
_space_group_symop_operation_xyz
'x,y,z'
'-x,-y,z+1/2'
'-x,y,z'
'x,-y,z+1/2'
'x+1/2,y+1/2,z'
'-x+1/2,-y+1/2,z+1/2'
'-x+1/2,y+1/2,z'
'x+1/2,-y+1/2,z+1/2'
loop_
_atom_site_label
_atom_site_type_symbol
_atom_site_fract_x
_atom_site_fract_y
_atom_site_fract_z
Na1 Na 0.000 0.031 0.000
Ac1 Ac 0.000 0.369 0.828
Ac2 Ac 0.000 0.396 0.213
Pm1 Pm 0.000 0.297 0.536
Se1 Se 0.000 0.005 0.302
Se2 Se 0.000 0.134 0.528
Se3 Se 0.000 0.189 0.884
Se4 Se 0.000 0.220 0.191
Se5 Se 0.000 0.443 0.611

---

Record 8
# GaC, optimized geometry, DFT PBE-GGA
# magnetic moment = 0.000 μB per atom
# energy above the lowest structure with this stoichiometry = 0.36 eV/f.u.
# DFT formation energy = 418 meV/atom
# density of states at the Fermi level = 0.086 states/eV per atom
# raw total energy = -5.71 eV per atom
data_GaC
_chemical_formula_sum 'Ga4 C4'
_cell_length_a 4.075
_cell_length_b 11.953
_cell_length_c 2.533
_cell_angle_alpha 90.00
_cell_angle_beta 92.97
_cell_angle_gamma 90.00
_space_group_name_H-M_alt 'C 1 2/c 1'
_space_group_IT_number 15
loop_
_space_group_symop_operation_xyz
'x,y,z'
'-x,-y,-z'
'-x,y,-z+1/2'
'x,-y,z+1/2'
'x+1/2,y+1/2,z'
'-x+1/2,-y+1/2,-z'
'-x+1/2,y+1/2,-z+1/2'
'x+1/2,-y+1/2,z+1/2'
loop_
_atom_site_label
_atom_site_type_symbol
_atom_site_fract_x
_atom_site_fract_y
_atom_site_fract_z
Ga1 Ga 0.000 0.196 0.250
C1 C 0.000 0.027 0.250

---

Record 9
# Zr5ScTc6, optimized geometry, DFT PBE-GGA
# magnetic moment = 0.000 μB per atom
# DFT formation energy = -307 meV/atom
# density of states at the Fermi level = 1.104 states/eV per atom
# raw total energy = -9.58 eV per atom
data_Zr5ScTc6
_chemical_formula_sum 'Zr10 Sc2 Tc12'
_cell_length_a 4.662
_cell_length_b 6.569
_cell_length_c 13.907
_cell_angle_alpha 90.00
_cell_angle_beta 90.00
_cell_angle_gamma 90.00
_space_group_name_H-M_alt 'I m m m'
_space_group_IT_number 71
_space_group_name_Hall '-I 2 2'
loop_
_atom_site_label
_atom_site_type_symbol
_atom_site_fract_x
_atom_site_fract_y
_atom_site_fract_z
Zr1 Zr 0.000 0.000 0.000
Zr2 Zr 0.000 0.000 0.336
Zr3 Zr 0.000 0.500 0.333
Sc1 Sc 0.000 0.500 0.000
Tc1 Tc 0.000 0.248 0.167
Tc2 Tc 0.000 0.254 0.500

---

Record 10
# La2ThB3Pt12, optimized geometry, DFT PBE-GGA
# magnetic moment = 0.000 μB per atom
# DFT formation energy = -514 meV/atom
# density of states at the Fermi level = 0.422 states/eV per atom
# raw total energy = -6.61 eV per atom
data_La2ThB3Pt12
_chemical_formula_sum 'La6 Th3 B9 Pt36'
_cell_length_a 7.9275
_cell_length_b 7.9275
_cell_length_c 18.7146
_cell_angle_alpha 90.00
_cell_angle_beta 90.00
_cell_angle_gamma 120.00
_space_group_name_H-M_alt 'R -3 m'
_space_group_IT_number 166
_space_group_name_Hall '-R 3 2"'
loop_
_atom_site_label
_atom_site_type_symbol
_atom_site_fract_x
_atom_site_fract_y
_atom_site_fract_z
La1 La 0.0000 0.0000 0.0948
Th1 Th 0.0000 0.0000 0.5000
B1 B 0.0000 0.5000 0.0000
Pt1 Pt 0.0436 0.5218 0.8800
Pt2 Pt 0.0619 0.5309 0.3500

---

What is the magnetic moment in the tenth record? 0.000 μB per atom

---

Among the records above, which one has the lowest raw total energy? NpV2Os